[1]
Below is SmB4Ir after structural relaxation, with properties calculated at the GGA-PBE level.

Cell lengths 6.038, 11.712, 3.622 Å; angles 90.00, 90.00, 90.00 degrees
Element x y z (fractional)
1 Sm 0.130 0.149 0.000
2 Sm 0.370 0.649 0.000
3 Sm 0.630 0.351 0.000
4 Sm 0.870 0.851 0.000
5 B 0.024 0.691 0.500
6 B 0.111 0.546 0.500
7 B 0.139 0.969 0.500
8 B 0.212 0.813 0.500
9 B 0.288 0.313 0.500
10 B 0.361 0.469 0.500
11 B 0.389 0.046 0.500
12 B 0.476 0.191 0.500
13 B 0.524 0.809 0.500
14 B 0.611 0.954 0.500
15 B 0.639 0.531 0.500
16 B 0.712 0.687 0.500
17 B 0.788 0.187 0.500
18 B 0.861 0.031 0.500
19 B 0.889 0.454 0.500
20 B 0.976 0.309 0.500
21 Ir 0.143 0.404 0.000
22 Ir 0.357 0.904 0.000
23 Ir 0.643 0.096 0.000
24 Ir 0.857 0.596 0.000

Properties
Magnetic moment, μB per atom: 0.000
Energy, eV for the cell shown: -174.219
DFT formation energy, eV per atom: -0.544

=====

[2]
Below is VIn3Ru after structural relaxation, with properties calculated at the GGA-PBE level.

Cell lengths 5.096, 5.096, 5.096 Å; angles 90.00, 90.00, 90.00 degrees
Element x y z (fractional)
1 V 0.000 0.000 0.000
2 In 0.000 0.500 0.500
3 In 0.500 0.000 0.500
4 In 0.500 0.500 0.000
5 Ru 0.500 0.500 0.500

Properties
Magnetic moment, μB per atom: 0.863
Energy, eV for the cell shown: -23.423
DFT formation energy, eV per atom: 0.637
Excess energy over the best structure of this formula in the dataset, eV per atom: 0.0000

=====

[3]
Below is AgHRh3 after structural relaxation, with properties calculated at the GGA-PBE level.

Cell lengths 3.968, 3.968, 3.968 Å; angles 90.00, 90.00, 90.00 degrees
Element x y z (fractional)
1 Ag 0.000 0.000 0.000
2 H 0.500 0.500 0.500
3 Rh 0.000 0.500 0.500
4 Rh 0.500 0.000 0.500
5 Rh 0.500 0.500 0.000

Properties
Magnetic moment, μB per atom: 0.002
Energy, eV for the cell shown: -27.371
Excess energy over the best structure of this formula in the dataset, eV per atom: 0.0000

=====

[4]
Below is Cs2CaZn2S4 after structural relaxation, with properties calculated at the GGA-PBE level.

Cell lengths 8.093, 8.093, 8.137 Å; angles 107.77, 107.77, 29.16 degrees
Element x y z (fractional)
1 Cs 0.130 0.130 0.042
2 Cs 0.870 0.870 0.958
3 Ca 0.000 0.000 0.500
4 Zn 0.329 0.329 0.527
5 Zn 0.671 0.671 0.473
6 S 0.203 0.203 0.648
7 S 0.473 0.473 0.719
8 S 0.527 0.527 0.281
9 S 0.797 0.797 0.352

Properties
Magnetic moment, μB per atom: 0.000
Energy, eV for the cell shown: -33.984
E_form (uncorrected), meV per atom: -1246

=====

> Look up the magnetic moment of the second one.

0.863 μB per atom

=====

Please write out number 3 again, unchanged.
Below is AgHRh3 after structural relaxation, with properties calculated at the GGA-PBE level.

Cell lengths 3.968, 3.968, 3.968 Å; angles 90.00, 90.00, 90.00 degrees
Element x y z (fractional)
1 Ag 0.000 0.000 0.000
2 H 0.500 0.500 0.500
3 Rh 0.000 0.500 0.500
4 Rh 0.500 0.000 0.500
5 Rh 0.500 0.500 0.000

Properties
Magnetic moment, μB per atom: 0.002
Energy, eV for the cell shown: -27.371
Excess energy over the best structure of this formula in the dataset, eV per atom: 0.0000

=====

> Among the records above, which one has the highest energy?

VIn3Ru

=====

> Number 4 is which compound?

Cs2CaZn2S4